SiW2Cl: relaxed, GGA-PBE.

a = 6.9315 Å, b = 6.9315 Å, c = 5.4522 Å
α = 90.00°, β = 90.00°, γ = 90.00°
Closest atoms and distances in Å follow each position.
Space group I-42d (No. 122)
Asymmetric unit:
Si 0.0000 0.0000 0.0000  2 Cl 2.73, 8 W 2.84-2.99
W 0.1907 0.2500 0.6250  2 Cl 2.28
Cl 0.0000 0.0000 0.5000  4 W 2.28

calculated total energy	-7.027	eV/atom
theoretical density	10.9	g cm⁻³
N(E_F)	21.19	states/eV per cell
energy above the lowest structure with this stoichiometry	992.5	meV per atom
uncorrected formation energy	1267	meV/atom
crystal system	tetragonal

=====

SiWCl3: relaxed, GGA-PBE.

a = 4.9699 Å, b = 4.9699 Å, c = 4.9699 Å
α = 90.00°, β = 90.00°, γ = 90.00°
Closest atoms and distances in Å follow each position.
Space group Pm-3m (No. 221)
Asymmetric unit:
Si 0.0000 0.0000 0.0000  6 Cl 2.48
W 0.5000 0.5000 0.5000  12 Cl 3.51
Cl 0.0000 0.0000 0.5000  2 Si 2.48

calculated total energy	-3.871	eV/atom
theoretical density	4.3	g cm⁻³
N(E_F)	5.21	states/eV per cell
energy above the lowest structure with this stoichiometry	319.7	meV per atom
uncorrected formation energy	912	meV/atom
crystal system	cubic

=====

SiW2Cl: relaxed, GGA-PBE.

a = 2.8828 Å, b = 2.8828 Å, c = 25.5838 Å
α = 90.00°, β = 90.00°, γ = 120.00°
Closest atoms and distances in Å follow each position.
Space group R-3m (No. 166, hexagonal axes)
Asymmetric unit:
Si 0.0000 0.0000 0.0000  6 W 2.66, 6 Si 2.88
W 0.0000 0.0000 0.2520  3 Si 2.66, 3 Cl 2.75, 6 W 2.88
Cl 0.0000 0.0000 0.5000  6 W 2.75, 6 Cl 2.88

calculated total energy	-7.810	eV/atom
theoretical density	11.7	g cm⁻³
N(E_F)	9.50	states/eV per cell
energy above the lowest structure with this stoichiometry	209.1	meV per atom
uncorrected formation energy	484	meV/atom
crystal system	trigonal

=====

SiWCl4: relaxed, GGA-PBE.

a = 8.1139 Å, b = 8.1139 Å, c = 8.1139 Å
α = 90.00°, β = 90.00°, γ = 90.00°
Closest atoms and distances in Å follow each position.
Space group F-43m (No. 216)
Asymmetric unit:
Si 0.0000 0.0000 0.0000  12 Cl 3.37, 4 W 3.51
W 0.2500 0.2500 0.7500  12 Cl 3.36, 4 Si 3.51
Cl 0.1243 0.1243 0.3757  6 Cl 2.85-2.89

calculated total energy	-2.770	eV/atom
theoretical density	4.4	g cm⁻³
N(E_F)	26.77	states/eV per cell
uncorrected formation energy	1524	meV/atom
crystal system	cubic

=====

YSiCl3: relaxed, GGA-PBE.

a = 5.0571 Å, b = 5.0571 Å, c = 5.0571 Å
α = 90.00°, β = 90.00°, γ = 90.00°
Closest atoms and distances in Å follow each position.
Space group Pm-3m (No. 221)
Asymmetric unit:
Y 0.0000 0.0000 0.0000  12 Cl 3.58
Si 0.5000 0.5000 0.5000  6 Cl 2.53
Cl 0.0000 0.5000 0.5000  2 Si 2.53

calculated total energy	-3.781	eV/atom
theoretical density	2.9	g cm⁻³
N(E_F)	8.88	states/eV per cell
energy above the lowest structure with this stoichiometry	584.6	meV per atom
uncorrected formation energy	-295	meV/atom
crystal system	cubic

=====

YSiCl: relaxed, GGA-PBE.

a = 6.8864 Å, b = 6.8864 Å, c = 6.8864 Å
α = 90.00°, β = 90.00°, γ = 90.00°
Closest atoms and distances in Å follow each position.
Space group F-43m (No. 216)
Asymmetric unit:
Y 0.0000 0.0000 0.0000  4 Cl 2.98, 4 Si 2.98
Si 0.2500 0.2500 0.2500  4 Y 2.98
Cl 0.2500 0.2500 0.7500  4 Y 2.98

calculated total energy	-4.863	eV/atom
theoretical density	3.1	g cm⁻³
N(E_F)	15.03	states/eV per cell
uncorrected formation energy	-285	meV/atom
crystal system	cubic